The following is a DFT calculation (PBE+U) of an optimized crystal structure of VCr4F12.

Unit cell a=6.770 b=6.770 c=6.770 alpha=109.76 beta=112.26 gamma=106.45
Sites, in units of the cell vectors:
1 F 0.080 0.760 0.320
2 F 0.440 0.760 0.680
3 F 0.816 0.291 0.106
4 F 0.292 0.100 0.808
5 F 0.292 0.483 0.192
6 F 0.920 0.240 0.680
7 F 0.560 0.240 0.320
8 F 0.184 0.291 0.475
9 F 0.184 0.709 0.894
10 F 0.708 0.517 0.808
11 F 0.708 0.900 0.192
12 F 0.816 0.709 0.525
13 Cr 0.500 0.000 0.000
14 Cr 0.000 0.000 0.500
15 Cr 0.000 0.500 0.000
16 Cr 0.500 0.500 0.500
17 V 0.000 0.500 0.500

- density of states at the Fermi level (states/eV/f.u.) = 2.17
- electronic total energy (eV per atom) = -6.1210
- symmetry = Immm, No. 71
- magnetic moment (μB/f.u.) = 17.00